A plane-wave DFT calculation with PBE was carried out for SmFeSi3Ni after structural relaxation.

Calculated values
E_form (uncorrected): -36.11 kJ/mol of atoms
total moment: 0.00 μB/f.u.
volume: 16.8 Å³ per atom

```
data_SmFeSi3Ni
_cell_length_a 6.026
_cell_length_b 11.906
_cell_length_c 5.611
_cell_angle_alpha 90.00
_cell_angle_beta 90.00
_cell_angle_gamma 90.00
_symmetry_space_group_name_H-M 'C m c m'
_symmetry_Int_Tables_number 63
_symmetry_space_group_name_Hall '-C 2c 2'
loop_
_atom_site_label
_atom_site_type_symbol
_atom_site_fract_x
_atom_site_fract_y
_atom_site_fract_z
Sm1 Sm 0.000 0.241 0.250
Fe1 Fe 0.000 0.034 0.750
Si1 Si 0.000 0.211 0.750
Si2 Si 0.208 0.500 0.000
Ni1 Ni 0.000 0.388 0.750
```


A plane-wave DFT calculation with PBE was carried out for Sm2FeSi3Ni12 after structural relaxation.

Calculated values
E_form (uncorrected): -6.47 kJ/mol of atoms
total moment: 4.12 μB/f.u.
volume: 14.6 Å³ per atom

```
data_Sm2FeSi3Ni12
_cell_length_a 6.0735
_cell_length_b 6.0735
_cell_length_c 24.6180
_cell_angle_alpha 90.00
_cell_angle_beta 90.00
_cell_angle_gamma 120.00
_symmetry_space_group_name_H-M 'R -3 m'
_symmetry_Int_Tables_number 166
_symmetry_space_group_name_Hall '-R 3 2"'
loop_
_atom_site_label
_atom_site_type_symbol
_atom_site_fract_x
_atom_site_fract_y
_atom_site_fract_z
Sm1 Sm 0.0000 0.0000 0.1511
Fe1 Fe 0.0000 0.0000 0.5000
Si1 Si 0.0000 0.5000 0.0000
Ni1 Ni 0.0530 0.5265 0.0949
Ni2 Ni 0.0646 0.5323 0.6222
```


Repeat the second record exactly.
A plane-wave DFT calculation with PBE was carried out for Sm2FeSi3Ni12 after structural relaxation.

Calculated values
E_form (uncorrected): -6.47 kJ/mol of atoms
total moment: 4.12 μB/f.u.
volume: 14.6 Å³ per atom

```
data_Sm2FeSi3Ni12
_cell_length_a 6.0735
_cell_length_b 6.0735
_cell_length_c 24.6180
_cell_angle_alpha 90.00
_cell_angle_beta 90.00
_cell_angle_gamma 120.00
_symmetry_space_group_name_H-M 'R -3 m'
_symmetry_Int_Tables_number 166
_symmetry_space_group_name_Hall '-R 3 2"'
loop_
_atom_site_label
_atom_site_type_symbol
_atom_site_fract_x
_atom_site_fract_y
_atom_site_fract_z
Sm1 Sm 0.0000 0.0000 0.1511
Fe1 Fe 0.0000 0.0000 0.5000
Si1 Si 0.0000 0.5000 0.0000
Ni1 Ni 0.0530 0.5265 0.0949
Ni2 Ni 0.0646 0.5323 0.6222
```


What is the total moment in the second record?
4.12 μB/f.u.


Which value of volume does entry 1 give?
16.8 Å³ per atom